# 1
Compound: Na12Ag2Pb
Source: the Alexandria database
Functional: GGA-PBE
Structure: optimized geometry Values from VASP.

```
&SYSTEM
  ibrav = 0, nat = 30, ntyp = 3
/
ATOMIC_SPECIES
Na 22.99 Na.upf
Ag 107.87 Ag.upf
Pb 207.20 Pb.upf
CELL_PARAMETERS angstrom
-3.040 4.332 3.684
-1.006 -4.521 4.486
22.595 6.217 11.332
ATOMIC_POSITIONS angstrom
Na 16.060 4.881 13.154
Na 18.083 4.976 9.069
Na 17.504 5.509 16.428
Na 19.024 3.343 14.586
Na 7.461 2.053 3.742
Na 0.543 -1.742 5.317
Na 9.903 5.602 10.803
Na 5.439 1.958 7.827
Na 19.527 5.604 12.343
Na -0.977 0.424 7.159
Na 11.557 4.041 8.361
Na 7.630 4.853 8.299
Na 15.134 4.164 7.590
Na 9.015 2.082 7.056
Na 1.046 0.518 3.074
Na 6.720 3.171 11.034
Na 9.807 2.762 12.553
Na 4.513 1.242 2.263
Na 11.461 1.200 10.111
Na 13.111 4.069 11.675
Na 18.007 7.770 14.185
Na 2.490 1.147 6.348
Na 8.106 0.401 9.792
Na -0.474 2.684 4.916
Ag 2.519 3.277 3.868
Ag 3.536 -1.149 4.268
Ag 18.054 2.845 11.549
Ag 17.037 7.272 11.149
Pb -1.520 2.166 1.842
Pb -0.503 -2.261 2.243
```

Values from the calculation:
- space-group type = P4/nbm

# 2
Compound: Nd2Sm4HoEr
Source: the Alexandria database
Functional: GGA-PBE
Structure: optimized geometry Values from VASP.

```
&SYSTEM
  ibrav = 0, nat = 8, ntyp = 4
/
ATOMIC_SPECIES
Nd 144.24 Nd.upf
Sm 150.36 Sm.upf
Ho 164.93 Ho.upf
Er 167.26 Er.upf
CELL_PARAMETERS angstrom
-1.355 1.162 4.798
-4.650 -1.932 -0.845
-1.432 -11.091 2.281
ATOMIC_POSITIONS angstrom
Nd -1.432 -11.091 2.281
Nd -1.393 -4.965 3.540
Sm -4.565 -9.760 1.074
Sm -2.871 -2.100 5.160
Sm -4.523 -3.637 2.334
Sm -2.913 -8.224 3.899
Ho -4.434 -11.476 4.257
Er -3.041 -6.511 0.718
```

Values from the calculation:
- space-group type = P2/m

# 3
Compound: InAg2
Source: the Alexandria database
Functional: GGA-PBE
Structure: optimized geometry Values from VASP.

```
&SYSTEM
  ibrav = 0, nat = 6, ntyp = 2
/
ATOMIC_SPECIES
In 114.82 In.upf
Ag 107.87 Ag.upf
CELL_PARAMETERS angstrom
-1.468 2.278 9.681
1.468 -2.278 9.681
1.468 2.278 -9.681
ATOMIC_POSITIONS angstrom
In 1.468 1.139 -2.273
In 0.000 1.139 11.954
Ag 1.468 1.139 8.882
Ag 0.000 1.139 0.799
Ag 1.468 1.139 6.041
Ag 0.000 1.139 3.639
```

Values from the calculation:
- space-group type = Imma

# 4
Compound: HfPaAu
Source: the Alexandria database
Functional: GGA-PBE
Structure: optimized geometry Values from VASP.

```
&SYSTEM
  ibrav = 0, nat = 3, ntyp = 3
/
ATOMIC_SPECIES
Hf 178.49 Hf.upf
Pa 231.04 Pa.upf
Au 196.97 Au.upf
CELL_PARAMETERS angstrom
-3.036 0.072 -0.861
1.236 -1.715 -4.502
-1.111 -3.184 3.655
ATOMIC_POSITIONS angstrom
Hf -0.504 0.012 -0.143
Pa -1.570 -2.157 -2.356
Au -0.837 -2.683 0.792
```

Values from the calculation:
- relative energy among the computed polymorphs (eV per atom) = 0.301
- space-group type = P-6m2

Number 1: formation energy from the elements 1.82 eV/f.u.. Number 2: formation energy from the elements 0.13 eV/f.u.. Number 3: formation energy from the elements 0.31 eV/f.u.. Number 4: formation energy from the elements 0.05 eV/f.u..